No. 1
VASP calculation (GGA-PBE) on a relaxed Ac2AlZn4 crystal.

The calculated formation energy comes out at -295 meV/atom. The calculated volume is 23.68 A^3/atom.

The structure belongs to space group P2_1/m (No. 11); the cell edges are 6.171, 6.259 and 8.947 Å and the angles 90.00°, 106.37° and 90.00°. The asymmetric unit holds Ac at (0.131, 0.250, 0.403), Ac at (0.263, 0.750, 0.018), Al at (0.142, 0.250, 0.783), Zn at (0.280, 0.250, 0.090), Zn at (0.309, 0.750, 0.403) and Zn at (0.417, 0.537, 0.694).


No. 2
VASP calculation (GGA-PBE) on a relaxed CeSc2Co crystal.

The calculated formation energy comes out at -179 meV/atom. The energy above the lowest structure with this stoichiometry is 0.0000 eV/atom. The calculated volume is 21.80 A^3/atom.

The structure belongs to space group Cmcm (No. 63); the cell edges are 3.455, 11.231 and 8.990 Å and the angles 90.00°, 90.00° and 90.00°. The asymmetric unit holds Ce at (0.000, 0.083, 0.250), Sc at (0.000, 0.358, 0.070) and Co at (0.000, 0.255, 0.750).


No. 3
VASP calculation (GGA-PBE) on a relaxed KVSn2Ge crystal.

The calculated formation energy comes out at 694 meV/atom. The calculated volume is 31.68 A^3/atom.

The structure belongs to space group P4/mmm (No. 123); the cell edges are 5.223, 5.223 and 5.807 Å and the angles 90.00°, 90.00° and 90.00°. The asymmetric unit holds K at (0.000, 0.000, 0.000), V at (0.000, 0.000, 0.500), Sn at (0.000, 0.500, 0.500) and Ge at (0.500, 0.500, 0.000).